1.
! HoScBeIn | the Alexandria database | GGA-PBE | relaxed; values from VASP
! Space group ... No. 216
&SYSTEM
  ibrav = 0, nat = 4, ntyp = 4
/
ATOMIC_SPECIES
In 114.82 In.upf
Ho 164.93 Ho.upf
Sc 44.96 Sc.upf
Be 9.01 Be.upf
CELL_PARAMETERS angstrom
-2.831 1.711 -3.684
-4.788 0.971 0.804
-1.597 4.686 0.076
ATOMIC_POSITIONS crystal
In 0.250 0.250 0.250
Ho 0.500 0.500 0.500
Sc 0.000 0.000 0.000
Be 0.750 0.750 0.750

2.
! TbHoBeIn | the Alexandria database | GGA-PBE | relaxed; values from VASP
! Space group ... No. 216
&SYSTEM
  ibrav = 0, nat = 4, ntyp = 4
/
ATOMIC_SPECIES
Tb 158.93 Tb.upf
Ho 164.93 Ho.upf
In 114.82 In.upf
Be 9.01 Be.upf
CELL_PARAMETERS angstrom
5.115 0.000 0.000
2.557 4.430 0.000
2.557 1.477 4.176
ATOMIC_POSITIONS crystal
Tb 0.250 0.250 0.250
Ho 0.750 0.750 0.750
In 0.500 0.500 0.500
Be 0.000 0.000 0.000

3.
! YHoBeIn | the Alexandria database | GGA-PBE | relaxed; values from VASP
! Space group ... No. 216
&SYSTEM
  ibrav = 0, nat = 4, ntyp = 4
/
ATOMIC_SPECIES
Be 9.01 Be.upf
Y 88.91 Y.upf
Ho 164.93 Ho.upf
In 114.82 In.upf
CELL_PARAMETERS angstrom
5.107 0.000 0.000
2.554 4.423 0.000
2.554 1.474 4.170
ATOMIC_POSITIONS crystal
Be 0.250 0.250 0.250
Y 0.000 0.000 0.000
Ho 0.500 0.500 0.500
In 0.750 0.750 0.750

4.
! Ho2Be4Ir5 | the Alexandria database | GGA-PBE | relaxed; values from VASP
! Space group ... No. 69
&SYSTEM
  ibrav = 0, nat = 11, ntyp = 3
/
ATOMIC_SPECIES
Ir 192.22 Ir.upf
Be 9.01 Be.upf
Ho 164.93 Ho.upf
CELL_PARAMETERS angstrom
5.118 0.000 2.443
2.559 4.684 1.221
-0.116 0.000 6.825
ATOMIC_POSITIONS crystal
Ir 0.750 0.500 0.500
Ir 0.500 0.000 0.000
Ir 0.250 0.500 0.500
Ir 0.000 0.500 0.000
Ir 0.500 0.500 0.000
Be 0.791 0.684 0.735
Be 0.526 0.684 0.265
Be 0.474 0.316 0.735
Be 0.209 0.316 0.265
Ho 0.865 0.000 0.270
Ho 0.135 0.000 0.730

5.
! Ho3BeIr2 | the Alexandria database | GGA-PBE | relaxed; values from VASP
! Space group ... No. 62
&SYSTEM
  ibrav = 0, nat = 24, ntyp = 3
/
ATOMIC_SPECIES
Ho 164.93 Ho.upf
Ir 192.22 Ir.upf
Be 9.01 Be.upf
CELL_PARAMETERS angstrom
-0.145 2.434 3.096
-10.617 3.217 -3.026
-4.251 -8.174 6.225
ATOMIC_POSITIONS crystal
Ho 0.750 0.558 0.623
Ho 0.250 0.380 0.059
Ho 0.750 0.194 0.299
Ho 0.250 0.120 0.559
Ho 0.250 0.442 0.377
Ho 0.250 0.058 0.877
Ho 0.250 0.806 0.701
Ho 0.250 0.694 0.201
Ho 0.750 0.620 0.941
Ho 0.750 0.942 0.123
Ho 0.750 0.880 0.441
Ho 0.750 0.306 0.799
Ir 0.250 0.818 0.967
Ir 0.750 0.318 0.533
Ir 0.750 0.982 0.694
Ir 0.250 0.482 0.806
Ir 0.750 0.518 0.194
Ir 0.250 0.018 0.306
Ir 0.250 0.682 0.467
Ir 0.750 0.182 0.033
Be 0.750 0.630 0.374
Be 0.250 0.370 0.626
Be 0.250 0.130 0.126
Be 0.750 0.870 0.874

6.
! HoBe4Ir | the Alexandria database | GGA-PBE | relaxed; values from VASP
! Space group ... No. 216
&SYSTEM
  ibrav = 0, nat = 6, ntyp = 3
/
ATOMIC_SPECIES
Be 9.01 Be.upf
Ho 164.93 Ho.upf
Ir 192.22 Ir.upf
CELL_PARAMETERS angstrom
-3.878 -1.123 -2.323
-0.278 -4.077 -2.235
-2.794 -3.357 1.618
ATOMIC_POSITIONS crystal
Be 0.628 0.116 0.628
Be 0.116 0.628 0.628
Be 0.628 0.628 0.116
Be 0.628 0.628 0.628
Ho 0.250 0.250 0.250
Ir 0.000 0.000 0.000

7.
! HoBe2Ir2 | the Alexandria database | GGA-PBE | relaxed; values from VASP
! Space group ... No. 139
&SYSTEM
  ibrav = 0, nat = 5, ntyp = 3
/
ATOMIC_SPECIES
Be 9.01 Be.upf
Ir 192.22 Ir.upf
Ho 164.93 Ho.upf
CELL_PARAMETERS angstrom
3.865 0.000 -1.553
-0.624 3.814 -1.553
-0.137 -0.161 5.246
ATOMIC_POSITIONS crystal
Be 0.148 0.648 0.796
Be 0.852 0.352 0.204
Ir 0.750 0.750 0.000
Ir 0.250 0.250 0.000
Ho 0.500 0.000 0.500

8.
! Ho2BeIr3 | the Alexandria database | GGA-PBE | relaxed; values from VASP
! Space group ... No. 166
&SYSTEM
  ibrav = 0, nat = 6, ntyp = 3
/
ATOMIC_SPECIES
Be 9.01 Be.upf
Ho 164.93 Ho.upf
Ir 192.22 Ir.upf
CELL_PARAMETERS angstrom
4.564 -0.055 2.049
1.304 4.374 2.049
-0.075 -0.055 5.002
ATOMIC_POSITIONS crystal
Be 0.000 0.000 0.000
Ho 0.628 0.628 0.628
Ho 0.372 0.372 0.372
Ir 0.500 0.000 0.000
Ir 0.000 0.500 0.000
Ir 0.000 0.000 0.500

9.
! Ho3BeIr3 | the Alexandria database | GGA-PBE | relaxed; values from VASP
! Space group ... No. 12
&SYSTEM
  ibrav = 0, nat = 14, ntyp = 3
/
ATOMIC_SPECIES
Ho 164.93 Ho.upf
Ir 192.22 Ir.upf
Be 9.01 Be.upf
CELL_PARAMETERS angstrom
-2.930 -1.044 2.580
-3.955 -2.977 -2.532
4.853 -11.616 3.973
ATOMIC_POSITIONS crystal
Ho 0.609 0.705 0.077
Ho 0.748 0.737 0.768
Ho 0.391 0.295 0.923
Ho 0.473 0.668 0.385
Ho 0.527 0.332 0.615
Ho 0.252 0.263 0.232
Ir 0.881 0.156 0.082
Ir 0.119 0.844 0.918
Ir 0.841 0.778 0.541
Ir 0.960 0.836 0.243
Ir 0.040 0.164 0.757
Ir 0.159 0.222 0.459
Be 0.764 0.072 0.400
Be 0.236 0.928 0.600

10.
! Ho3Be4Ir4 | the Alexandria database | GGA-PBE | relaxed; values from VASP
! Space group ... No. 217
&SYSTEM
  ibrav = 0, nat = 11, ntyp = 3
/
ATOMIC_SPECIES
Ho 164.93 Ho.upf
Be 9.01 Be.upf
Ir 192.22 Ir.upf
CELL_PARAMETERS angstrom
6.095 0.000 0.000
-2.032 5.746 0.000
-2.032 -2.873 4.976
ATOMIC_POSITIONS crystal
Ho 0.500 0.500 0.000
Ho 0.000 0.500 0.500
Ho 0.500 0.000 0.500
Be 0.777 0.777 0.777
Be 0.223 0.000 0.000
Be 0.000 0.223 0.000
Be 0.000 0.000 0.223
Ir 0.000 0.596 0.000
Ir 0.000 0.000 0.596
Ir 0.596 0.000 0.000
Ir 0.404 0.404 0.404

11.
! HoBe2Ir2 | the Alexandria database | GGA-PBE | relaxed; values from VASP
! Space group ... No. 129
&SYSTEM
  ibrav = 0, nat = 10, ntyp = 3
/
ATOMIC_SPECIES
Ir 192.22 Ir.upf
Ho 164.93 Ho.upf
Be 9.01 Be.upf
CELL_PARAMETERS angstrom
-1.616 -0.200 3.653
3.478 -1.324 1.466
2.618 8.679 1.632
ATOMIC_POSITIONS crystal
Ir 0.750 0.250 0.500
Ir 0.250 0.750 0.500
Ir 0.750 0.750 0.123
Ir 0.250 0.250 0.877
Ho 0.250 0.250 0.252
Ho 0.750 0.750 0.748
Be 0.750 0.750 0.375
Be 0.250 0.250 0.625
Be 0.250 0.750 0.000
Be 0.750 0.250 0.000

12.
! HoBe3Ir3 | the Alexandria database | GGA-PBE | relaxed; values from VASP
! Space group ... No. 223
&SYSTEM
  ibrav = 0, nat = 14, ntyp = 3
/
ATOMIC_SPECIES
Ho 164.93 Ho.upf
Be 9.01 Be.upf
Ir 192.22 Ir.upf
CELL_PARAMETERS angstrom
-2.468 -0.351 -5.506
3.712 -4.567 -1.373
-4.081 -3.943 2.080
ATOMIC_POSITIONS crystal
Ho 0.500 0.500 0.500
Ho 0.000 0.000 0.000
Be 0.750 0.500 0.000
Be 0.500 0.000 0.250
Be 0.000 0.250 0.500
Be 0.000 0.750 0.500
Be 0.250 0.500 0.000
Be 0.500 0.000 0.750
Ir 0.000 0.500 0.250
Ir 0.500 0.750 0.000
Ir 0.750 0.000 0.500
Ir 0.000 0.500 0.750
Ir 0.500 0.250 0.000
Ir 0.250 0.000 0.500

Number 1: energy relative to the elements -0.129 eV per atom, V 21.46 Å³ per atom. Number 2: energy relative to the elements -0.118 eV per atom, V 23.66 Å³ per atom. Number 3: energy relative to the elements -0.134 eV per atom, V 23.55 Å³ per atom. Number 4: energy relative to the elements -0.656 eV per atom, V 14.99 Å³ per atom. Number 5: energy relative to the elements -0.738 eV per atom, V 20.99 Å³ per atom. Number 6: energy relative to the elements -0.401 eV per atom, V 11.91 Å³ per atom. Number 7: energy relative to the elements -0.691 eV per atom, V 15.08 Å³ per atom. Number 8: energy relative to the elements -0.783 eV per atom, V 16.88 Å³ per atom. Number 9: energy relative to the elements -0.754 eV per atom, V 19.50 Å³ per atom. Number 10: energy relative to the elements -0.590 eV per atom, V 15.84 Å³ per atom. Number 11: energy relative to the elements -0.675 eV per atom, V 14.73 Å³ per atom. Number 12: energy relative to the elements -0.095 eV per atom, V 15.77 Å³ per atom.